Entry 1:
First-principles (PBE) data for a relaxed structure of GdHoGa2Pd4, as listed in OQMD via LeMat-Bulk.

The structure belongs to space group P4/mmm (No. 123); the cell edges are 4.693, 4.693 and 6.652 Å and the angles 90.00°, 90.00° and 90.00°. Symmetry generates all atoms from Gd at (0.000, 0.000, 0.000), Ho at (0.500, 0.500, 0.500), Ga at (0.000, 0.000, 0.500), Ga at (0.500, 0.500, 0.000) and Pd at (0.000, 0.500, 0.253).

For the size of the total moment, the calculation gives 0.00 μB/cell. The calculation puts the offset from the most stable computed form at 90 meV per atom.

---

Entry 2:
First-principles (PBE) data for a relaxed structure of ReSnO3, as listed in OQMD via LeMat-Bulk.

The structure belongs to space group R-3c (No. 167, hexagonal axes); the cell edges are 5.6425, 5.6425 and 13.4149 Å and the angles 90.00°, 90.00° and 120.00°. Symmetry generates all atoms from Re at (0.0000, 0.0000, 0.0000), Sn at (0.0000, 0.0000, 0.2500) and O at (0.0000, 0.4378, 0.2500).

For the size of the total moment, the calculation gives 4.05 μB/cell.

---

Entry 3:
First-principles (PBE) data for a relaxed structure of MgAlAg2, as listed in OQMD via LeMat-Bulk.

The structure belongs to space group P6_3/mmc (No. 194); the cell edges are 4.6467, 4.6467 and 7.9991 Å and the angles 90.00°, 90.00° and 120.00°. Symmetry generates all atoms from Mg at (0.0000, 0.0000, 0.2500), Al at (0.3333, 0.6667, 0.2500) and Ag at (0.3333, 0.6667, 0.5778).

The calculation puts the offset from the most stable computed form at 169 meV per atom.

---

Entry 4:
First-principles (PBE) data for a relaxed structure of TlAg2IrSe4, as listed in OQMD via LeMat-Bulk.

The structure belongs to space group I-4 (No. 82); the cell edges are 6.158, 6.158 and 11.876 Å and the angles 90.00°, 90.00° and 90.00°. Symmetry generates all atoms from Tl at (0.000, 0.000, 0.000), Ag at (0.000, 0.000, 0.500), Ag at (0.000, 0.500, 0.750), Ir at (0.000, 0.500, 0.250) and Se at (0.210, 0.254, 0.357).

For the size of the total moment, the calculation gives 0.00 μB/cell.

---

Entry 5:
First-principles (PBE) data for a relaxed structure of Gd3Tl2Sn5, as listed in OQMD via LeMat-Bulk.

The structure belongs to space group Cmmm (No. 65); the cell edges are 4.494, 25.281 and 4.693 Å and the angles 90.00°, 90.00° and 90.00°. Symmetry generates all atoms from Gd at (0.000, 0.000, 0.000), Gd at (0.000, 0.188, 0.000), Tl at (0.000, 0.099, 0.500), Sn at (0.000, 0.291, 0.500), Sn at (0.000, 0.405, 0.000) and Sn at (0.000, 0.500, 0.500).

For the size of the total moment, the calculation gives 0.02 μB/cell. The calculation puts the offset from the most stable computed form at 0 meV per atom.

---

Entry 6:
First-principles (PBE) data for a relaxed structure of RbPbAuSe3, as listed in OQMD via LeMat-Bulk.

The structure belongs to space group Cmcm (No. 63); the cell edges are 4.455, 13.416 and 11.793 Å and the angles 90.00°, 90.00° and 90.00°. Symmetry generates all atoms from Rb at (0.000, 0.218, 0.250), Pb at (0.000, 0.500, 0.000), Au at (0.000, 0.085, 0.750), Se at (0.000, 0.148, 0.544) and Se at (0.000, 0.484, 0.750).

---

Entry 7:
First-principles (PBE) data for a relaxed structure of NbTlCuSe2S, as listed in OQMD via LeMat-Bulk.

The structure belongs to space group Cmcm (No. 63); the cell edges are 3.644, 14.884 and 9.663 Å and the angles 90.00°, 90.00° and 90.00°. Symmetry generates all atoms from Nb at (0.000, 0.000, 0.000), Tl at (0.000, 0.259, 0.250), Cu at (0.000, 0.466, 0.750), Se at (0.000, 0.373, 0.547) and S at (0.000, 0.060, 0.750).

For the size of the total moment, the calculation gives 2.22 μB/cell.

---

Entry 8:
First-principles (PBE) data for a relaxed structure of Zr5AsPb3, as listed in OQMD via LeMat-Bulk.

The structure belongs to space group P6_3/mcm (No. 193); the cell edges are 8.7656, 8.7656 and 6.0240 Å and the angles 90.00°, 90.00° and 120.00°. Symmetry generates all atoms from Zr at (0.0000, 0.2581, 0.2500), Zr at (0.3333, 0.6667, 0.0000), As at (0.0000, 0.0000, 0.0000) and Pb at (0.0000, 0.3956, 0.7500).

For the size of the total moment, the calculation gives 0.00 μB/cell.

---

Entry 9:
First-principles (PBE) data for a relaxed structure of SmBi, as listed in OQMD via LeMat-Bulk.

The structure belongs to space group P-3m1 (No. 164); the cell edges are 4.5421, 4.5421 and 11.1445 Å and the angles 90.00°, 90.00° and 120.00°. Symmetry generates all atoms from Sm at (0.0000, 0.0000, 0.0000), Sm at (0.3333, 0.6667, 0.3323), Bi at (0.0000, 0.0000, 0.5000) and Bi at (0.3333, 0.6667, 0.8350).

For the size of the total moment, the calculation gives 0.01 μB/cell. The calculation puts the offset from the most stable computed form at 1 meV per atom.

---

Entry 10:
First-principles (PBE) data for a relaxed structure of LiScIr2, as listed in OQMD via LeMat-Bulk.

The structure belongs to space group F-43m (No. 216); the cell edges are 6.258, 6.258 and 6.258 Å and the angles 90.00°, 90.00° and 90.00°. Symmetry generates all atoms from Li at (0.000, 0.000, 0.000), Sc at (0.250, 0.250, 0.250), Ir at (0.000, 0.000, 0.500) and Ir at (0.250, 0.250, 0.750).

For the size of the total moment, the calculation gives 3.07 μB/cell.

---

Entry 11:
First-principles (PBE) data for a relaxed structure of TlPW4C2, as listed in OQMD via LeMat-Bulk.

The structure belongs to space group P-6m2 (No. 187); the cell edges are 3.2353, 3.2353 and 12.5463 Å and the angles 90.00°, 90.00° and 120.00°. Symmetry generates all atoms from Tl at (0.0000, 0.0000, 0.0000), P at (0.6667, 0.3333, 0.5000), W at (0.0000, 0.0000, 0.3662), W at (0.6667, 0.3333, 0.1937) and C at (0.3333, 0.6667, 0.2682).

For the size of the total moment, the calculation gives 0.00 μB/cell.

---

Entry 12:
First-principles (PBE) data for a relaxed structure of Zr4ZnFeN2, as listed in OQMD via LeMat-Bulk.

The structure belongs to space group P-6m2 (No. 187); the cell edges are 3.2481, 3.2481 and 13.6850 Å and the angles 90.00°, 90.00° and 120.00°. Symmetry generates all atoms from Zr at (0.0000, 0.0000, 0.1426), Zr at (0.6667, 0.3333, 0.3339), Zn at (0.0000, 0.0000, 0.5000), Fe at (0.6667, 0.3333, 0.0000) and N at (0.3333, 0.6667, 0.2416).

For the size of the total moment, the calculation gives 1.39 μB/cell.

---

Entry 13:
First-principles (PBE) data for a relaxed structure of Dy2ErMg3NiAu2, as listed in OQMD via LeMat-Bulk.

The structure belongs to space group Amm2 (No. 38); the cell edges are 4.036, 12.999 and 7.527 Å and the angles 90.00°, 90.00° and 90.00°. Symmetry generates all atoms from Dy at (0.000, 0.202, 0.000), Er at (0.000, 0.000, 0.603), Mg at (0.500, 0.000, 0.963), Mg at (0.500, 0.119, 0.321), Ni at (0.000, 0.000, 0.203) and Au at (0.500, 0.165, 0.701).

For the size of the total moment, the calculation gives 0.01 μB/cell.

---

Entry 14:
First-principles (PBE) data for a relaxed structure of LaTlCdTe3, as listed in OQMD via LeMat-Bulk.

The structure belongs to space group Cmcm (No. 63); the cell edges are 4.608, 15.466 and 12.151 Å and the angles 90.00°, 90.00° and 90.00°. Symmetry generates all atoms from La at (0.000, 0.000, 0.000), Tl at (0.000, 0.241, 0.250), Cd at (0.000, 0.466, 0.750), Te at (0.000, 0.081, 0.750) and Te at (0.000, 0.360, 0.560).

For the size of the total moment, the calculation gives 0.00 μB/cell. The calculation puts the offset from the most stable computed form at 1 meV per atom.

---

Entry 15:
First-principles (PBE) data for a relaxed structure of Pr7Al7Co6, as listed in OQMD via LeMat-Bulk.

The structure belongs to space group P4/mbm (No. 127); the cell edges are 13.957, 13.957 and 4.207 Å and the angles 90.00°, 90.00° and 90.00°. Symmetry generates all atoms from Pr at (0.000, 0.000, 0.000), Pr at (0.047, 0.262, 0.000), Pr at (0.131, 0.631, 0.500), Al at (0.000, 0.500, 0.000), Al at (0.099, 0.861, 0.500), Al at (0.215, 0.285, 0.500), Co at (0.073, 0.427, 0.500) and Co at (0.165, 0.789, 0.000).

For the size of the total moment, the calculation gives 0.00 μB/cell.

---

Entry 16:
First-principles (PBE) data for a relaxed structure of NbTlNO, as listed in OQMD via LeMat-Bulk.

The structure belongs to space group Pca2_1 (No. 29); the cell edges are 6.245, 8.424 and 5.700 Å and the angles 90.00°, 90.00° and 90.00°. Symmetry generates all atoms from Nb at (0.103, 0.083, 0.000), Tl at (0.072, 0.625, 0.022), N at (0.100, 0.075, 0.647) and O at (0.001, 0.715, 0.559).

For the size of the total moment, the calculation gives 0.00 μB/cell. The calculation puts the offset from the most stable computed form at 0 meV per atom.

---

Entry 17:
First-principles (PBE) data for a relaxed structure of NdTeAsO, as listed in OQMD via LeMat-Bulk.

The structure belongs to space group Pmc2_1 (No. 26); the cell edges are 3.784, 6.153 and 7.967 Å and the angles 90.00°, 90.00° and 90.00°. Symmetry generates all atoms from Nd at (0.000, 0.098, 0.000), Te at (0.500, 0.386, 0.568), As at (0.000, 0.429, 0.325) and O at (0.500, 0.072, 0.859).

For the size of the total moment, the calculation gives 0.01 μB/cell. The calculation puts the offset from the most stable computed form at 13 meV per atom.

---

Entry 18:
First-principles (PBE) data for a relaxed structure of U2Si5Tc3, as listed in OQMD via LeMat-Bulk.

The structure belongs to space group P4/mnc (No. 128); the cell edges are 10.926, 10.926 and 5.480 Å and the angles 90.00°, 90.00° and 90.00°. Symmetry generates all atoms from U at (0.075, 0.235, 0.000), Si at (0.000, 0.000, 0.233), Si at (0.026, 0.316, 0.500), Si at (0.173, 0.673, 0.250), Tc at (0.000, 0.500, 0.250) and Tc at (0.124, 0.858, 0.500).

For the size of the total moment, the calculation gives 12.83 μB/cell.

---

Entry 19:
First-principles (PBE) data for a relaxed structure of LiHo5Tl3, as listed in OQMD via LeMat-Bulk.

The structure belongs to space group P6_3/mcm (No. 193); the cell edges are 9.2256, 9.2256 and 6.6237 Å and the angles 90.00°, 90.00° and 120.00°. Symmetry generates all atoms from Li at (0.0000, 0.0000, 0.0000), Ho at (0.0000, 0.3060, 0.2500), Ho at (0.3333, 0.6667, 0.0000) and Tl at (0.0000, 0.3528, 0.7500).

For the size of the total moment, the calculation gives 1.15 μB/cell.

---

Entry 20:
First-principles (PBE) data for a relaxed structure of ReGePt2, as listed in OQMD via LeMat-Bulk.

The structure belongs to space group F-43m (No. 216); the cell edges are 6.272, 6.272 and 6.272 Å and the angles 90.00°, 90.00° and 90.00°. Symmetry generates all atoms from Re at (0.000, 0.000, 0.000), Ge at (0.250, 0.250, 0.750), Pt at (0.000, 0.000, 0.500) and Pt at (0.250, 0.250, 0.250).

For the size of the total moment, the calculation gives 0.13 μB/cell.

---

How do the records compare in E_tot? In the order shown, they have -42.42 -218.71 -22.00 -62.42 -87.14 -83.34 -122.47 -126.41 -31.94 -109.24 -76.41 -66.88 -71.08 -91.93 -219.04 -118.21 -45.12 -343.70 -68.68 -113.68 eV for the cell shown.